Record 1
First-principles (PBE) data for an optimized crystal structure of Rb2CuIO, as listed in Alexandria.

Properties
- Energy relative to the elements, uncorrected: -0.94 eV per atom
- Total magnetization: 0.00 μB per atom
- Symmetry: P2_1/m

Structure (POSCAR):
```
Rb2CuIO
1.0
-2.7230 -2.8720 1.5714
5.1866 -1.9452 5.4326
-6.0865 7.4964 3.1542
Cu I Rb O
2 2 4 2
Cartesian
-2.4701 3.9265 5.7811 Cu
-1.1528 -1.2473 4.3770 Cu
1.0252 0.2010 5.0288 I
-4.6481 2.4782 5.1293 I
-1.7972 1.1072 7.5638 Rb
-5.6425 6.2245 4.4837 Rb
-1.8256 1.5720 2.5943 Rb
2.0196 -3.5453 5.6744 Rb
-2.0681 -1.2465 2.7925 O
-1.5548 3.9257 7.3656 O
```

***

Record 2
First-principles (PBE) data for an optimized crystal structure of Li2AlHRu, as listed in Alexandria.

Properties
- Total magnetization: 0.00 μB per atom
- Symmetry: P4/mmm
- E: -21.39 eV per cell

Structure (POSCAR):
```
Li2AlHRu
1.0
3.6767 0.0000 0.0000
0.0000 3.6767 0.0000
0.0000 0.0000 4.0638
H Li Ru Al
1 2 1 1
Cartesian
0.0000 0.0000 0.0000 H
1.8384 0.0000 0.0000 Li
0.0000 1.8384 0.0000 Li
0.0000 0.0000 2.0319 Ru
1.8384 1.8384 2.0319 Al
```

***

Record 3
First-principles (PBE) data for an optimized crystal structure of Y3Er4Tm, as listed in Alexandria.

Properties
- Total magnetization: 0.00 μB per atom
- Symmetry: Pmn2_1
- E: -84.24 eV per cell

Structure (POSCAR):
```
Y3Er4Tm
1.0
6.2438 0.0000 0.0000
0.0000 7.2256 0.0000
0.0000 0.0000 11.1674
Er Y Tm
8 6 2
Cartesian
6.1228 0.8938 8.3896 Er
4.0504 0.8950 0.0000 Er
3.0008 6.3317 8.3616 Er
4.0593 0.8872 5.5837 Er
0.9285 6.3306 5.5837 Er
0.9373 6.3384 0.0000 Er
3.0008 6.3317 2.8058 Er
6.1228 0.8938 2.7779 Er
3.0083 2.7000 8.3712 Y
4.0306 4.5272 0.0000 Y
0.9087 2.6984 5.5837 Y
3.0083 2.7000 2.7962 Y
6.1302 4.5256 2.7875 Y
6.1302 4.5256 8.3800 Y
4.0341 4.5283 5.5837 Tm
0.9122 2.6973 0.0000 Tm
```

***

Record 4
First-principles (PBE) data for an optimized crystal structure of TaTc2Os, as listed in Alexandria.

Properties
- Total magnetization: 0.00 μB per atom
- Symmetry: R-3m
- E: -43.20 eV per cell

Structure (POSCAR):
```
TaTc2Os
1.0
-5.7603 -1.1337 -7.3209
-7.5804 -1.6599 -5.2768
-7.0935 0.9681 -6.0669
Os Tc Ta
1 2 1
Cartesian
-5.1086 -0.4564 -4.6662 Os
-10.3254 -0.9225 -9.4312 Tc
-20.3259 -1.8159 -18.5657 Tc
-15.3257 -1.3692 -13.9985 Ta
```

***

Record 5
First-principles (PBE) data for an optimized crystal structure of LiTe3Mo, as listed in Alexandria.

Properties
- Energy relative to the elements, uncorrected: 0.77 eV per atom
- Total magnetization: 0.62 μB per atom
- Symmetry: Pm-3m

Structure (POSCAR):
```
LiTe3Mo
1.0
-1.1097 -2.7901 4.0353
-2.2159 -3.4061 -2.9644
4.3769 -2.4318 -0.4778
Li Mo Te
1 1 3
Cartesian
0.0000 0.0000 0.0000 Li
0.5257 -4.3139 0.2966 Mo
-1.1080 -1.7030 -1.4822 Te
2.1885 -1.2159 -0.2389 Te
-0.5548 -1.3950 2.0176 Te
```

***

Record 6
First-principles (PBE) data for an optimized crystal structure of LiLaSe2, as listed in Alexandria.

Properties
- Energy relative to the elements, uncorrected: -1.61 eV per atom
- Total magnetization: 0.00 μB per atom
- Symmetry: Cm

Structure (POSCAR):
```
LiLaSe2
1.0
-0.1884 0.5149 5.9165
0.5331 -3.2304 4.9585
4.4724 0.8457 0.0618
Se Li La
2 1 1
Cartesian
0.5168 0.0508 0.1905 Se
2.9623 -1.5703 8.3694 Se
0.8219 -0.4982 2.5667 Li
2.9246 -0.7869 5.2786 La
```

***

Record 7
First-principles (PBE) data for an optimized crystal structure of ErHfHg, as listed in Alexandria.

Properties
- Total magnetization: 0.00 μB per atom
- Symmetry: I4mm
- E: -15.33 eV per cell

Structure (POSCAR):
```
ErHfHg
1.0
-3.2689 0.6246 -0.5248
-0.7925 -2.9458 1.4302
1.6653 4.0105 5.2151
Er Hg Hf
1 1 1
Cartesian
-2.3958 1.6878 6.1173 Er
-2.1575 -0.1712 2.4203 Hg
-0.2387 1.8622 3.7034 Hf
```

***

Record 8
First-principles (PBE) data for an optimized crystal structure of CeHo2Pb, as listed in Alexandria.

Properties
- Total magnetization: 0.25 μB per atom
- Symmetry: R3m
- E: -19.22 eV per cell

Structure (POSCAR):
```
CeHo2Pb
1.0
3.5376 0.0000 0.0000
1.7688 3.0636 0.0000
1.7688 1.0212 11.0310
Ce Pb Ho
1 1 2
Cartesian
3.5376 2.0424 5.5223 Ce
3.5376 2.0424 0.0015 Pb
1.7688 1.0212 8.3783 Ho
1.7688 1.0212 2.6443 Ho
```